4
Lattice="-0.455 -3.591 -1.858 1.900 -0.722 -3.524 6.624 -4.225 2.089" Properties=species:S:1:pos:R:3 comment="Tb2ZnTe, optimized geometry, DFT GGA-PBE" raw_formation_energy_mev_per_atom=-723 space_group="R3m, No. 160" pbc="T T T"
Tb 5.188 -3.574 1.181
Tb 1.920 -2.091 -0.884
Zn 7.569 -7.092 -1.511
Te 4.049 -4.276 -1.637

***

16
Lattice="-7.752 -3.182 -2.347 2.580 -0.105 -8.380 4.744 -4.106 6.030" Properties=species:S:1:pos:R:3 comment="Y8Sb3Te4Au, optimized geometry, DFT GGA-PBE" raw_formation_energy_mev_per_atom=-1221 space_group="R-3m, No. 166" pbc="T T T"
Y 4.758 -4.923 -0.716
Y 2.310 -2.805 -3.827
Y 1.116 -2.920 0.274
Y 0.758 -6.565 -1.927
Y -1.186 -0.827 -2.770
Y -1.544 -4.472 -4.970
Y -2.738 -4.587 -0.869
Y -5.186 -2.469 -3.981
Sb -2.586 -1.643 -5.363
Sb -0.214 -3.696 -2.348
Sb 3.662 -2.105 -1.175
Te -3.876 -1.591 -1.173
Te -1.504 -3.644 1.842
Te 0.000 0.000 0.000
Te 2.372 -2.053 3.015
Au 1.290 -0.052 -4.190

***

5
Lattice="5.644 0.000 0.000 0.000 5.644 0.000 0.000 0.000 3.570" Properties=species:S:1:pos:R:3 comment="InAsHBr2, optimized geometry, DFT GGA-PBE" final_energy_ev_per_fu=-13.38 space_group="P4/mmm, No. 123" pbc="T T T"
H 0.000 0.000 0.000
As 0.000 0.000 1.785
Br 0.000 2.822 0.000
Br 2.822 0.000 0.000
In 2.822 2.822 1.785

***

6
Lattice="-1.412 1.364 3.989 1.674 -2.998 1.618 8.286 3.214 1.834" Properties=species:S:1:pos:R:3 comment="PuPtPb, optimized geometry, DFT GGA-PBE" delta_e_f_ev_per_fu=-1.506 space_group="Cmcm, No. 63" pbc="T T T"
Pt 0.491 -0.025 3.898
Pt 8.058 1.605 3.542
Pb 2.898 1.498 4.230
Pb 5.650 0.082 3.211
Pu 5.911 3.404 4.644
Pu 2.637 -1.823 2.796

***

14
Lattice="-1.729 -8.355 -1.136 8.057 1.123 2.813 -5.703 2.922 5.747" Properties=species:S:1:pos:R:3 comment="Pr8Er5Th, optimized geometry, DFT GGA-PBE" delta_e_f_ev_per_fu=3.889 space_group="I-4, No. 82" pbc="T T T"
Pr 5.176 -0.253 2.244
Pr -4.674 -5.788 2.941
Pr -1.105 -4.872 1.870
Pr -3.201 -2.359 5.661
Pr 2.466 -2.947 2.607
Pr 1.550 -1.263 6.809
Pr -0.801 -1.316 2.854
Pr 3.090 1.556 4.710
Er 1.736 0.438 1.539
Er 4.747 -5.764 2.633
Er 0.037 -3.910 5.174
Er -3.716 -2.717 2.306
Er -5.269 0.615 5.503
Th -0.681 0.664 5.433

***

10
Lattice="-1.934 -7.228 -0.957 1.751 -0.167 -2.275 5.886 0.790 4.471" Properties=species:S:1:pos:R:3 comment="BeCdBIrAu, optimized geometry, DFT GGA-PBE" delta_e_f_ev_per_fu=-0.263 space_group="Cm, No. 8" pbc="T T T"
Be 2.298 -4.227 2.079
Be 0.230 -4.706 -1.294
B -1.084 -5.943 -0.397
B 2.734 -5.631 0.700
Ir 0.627 -5.560 0.891
Ir 4.446 -5.249 1.989
Au 3.940 -2.564 3.220
Au 1.873 -3.043 -0.153
Cd 5.501 -0.383 4.261
Cd 3.433 -0.862 0.888